No. 1
Entry from Alexandria: a relaxed structure of Ni3Mo2Ir2 (PBE-GGA).

a = 2.6697 Å, b = 6.2799 Å, c = 10.7074 Å
α = 145.59°, β = 90.00°, γ = 102.27°
With the nearest neighbours (Å) after each atom.
Fractional coordinates of all 7 atoms:
Ni (0.0000, 0.0000, 0.5000)  4 Ni 2.46-2.67, 4 Mo 2.62
Ir (0.8052, 0.6104, 0.6635)  6 Ni 2.63-2.79, 3 Mo 2.65-2.74, 4 Ir 2.67-2.80
Ir (0.1948, 0.3896, 0.3365)  6 Ni 2.63-2.79, 3 Mo 2.65-2.74, 4 Ir 2.67-2.80
Ni (0.6489, 0.2978, 0.0824)  2 Ni 2.36-2.46, 3 Mo 2.54-2.61, 2 Ir 2.63
Ni (0.3511, 0.7022, 0.9176)  2 Ni 2.36-2.46, 3 Mo 2.54-2.61, 2 Ir 2.63
Mo (0.4205, 0.8410, 0.2182)  5 Ni 2.54-2.62, 3 Ir 2.65-2.74, 2 Mo 2.67
Mo (0.5795, 0.1590, 0.7818)  5 Ni 2.54-2.62, 3 Ir 2.65-2.74, 2 Mo 2.67

Space-group type: C2/m (12)
Energy of formation (eV/atom): -0.0059
Total energy (eV per cell): -56.8

No. 2
Entry from Alexandria: a relaxed structure of Ni2MoIr (PBE-GGA).

a = 4.6003 Å, b = 4.6003 Å, c = 4.6003 Å
α = 132.43°, β = 132.46°, γ = 69.52°
With the nearest neighbours (Å) after each atom.
Fractional coordinates of all 4 atoms:
Mo (0.2500, 0.7500, 0.5000)  8 Ni 2.62-2.65, 4 Ir 2.65
Ni (0.0000, 0.0000, 0.0000)  4 Ir 2.62, 4 Mo 2.65, 4 Ni 2.65
Ir (0.4999, 0.4999, 0.0000)  8 Ni 2.62-2.65, 4 Mo 2.65
Ni (0.7499, 0.2499, 0.5000)  4 Mo 2.62, 4 Ni 2.65, 4 Ir 2.65

Space-group type: I-4m2 (119)
Energy of formation (eV/atom): -0.1717
Total energy (eV per cell): -31.9

No. 3
Entry from Alexandria: a relaxed structure of NiMo2Ir (PBE-GGA).

a = 3.7339 Å, b = 3.7339 Å, c = 9.3028 Å
α = 78.42°, β = 78.42°, γ = 90.00°
With the nearest neighbours (Å) after each atom.
Fractional coordinates of all 8 atoms:
Ni (0.5000, 0.5000, 0.0000)  4 Mo 2.57, 4 Ir 2.64
Mo (0.3750, 0.3945, 0.7500)  4 Mo 2.54-2.75, 2 Ni 2.57, 2 Ir 2.62
Mo (0.8750, 0.8555, 0.7500)  4 Mo 2.54-2.75, 2 Ni 2.57, 2 Ir 2.62
Mo (0.1445, 0.6250, 0.2500)  4 Mo 2.54-2.75, 2 Ni 2.57, 2 Ir 2.62
Ni (0.2500, 0.7500, 0.5000)  4 Mo 2.57, 4 Ir 2.64
Ir (0.7500, 0.2500, 0.5000)  4 Mo 2.62, 4 Ni 2.64
Ir (0.0000, 0.0000, 0.0000)  4 Mo 2.62, 4 Ni 2.64
Mo (0.6055, 0.1250, 0.2500)  4 Mo 2.54-2.75, 2 Ni 2.57, 2 Ir 2.62

Space-group type: I-42d (122)
Energy of formation (eV/atom): 0.4951
Total energy (eV per cell): -68.6

No. 4
Entry from Alexandria: a relaxed structure of Ni2MoIr (PBE-GGA).

a = 5.8852 Å, b = 4.5367 Å, c = 2.6921 Å
α = 90.04°, β = 62.67°, γ = 120.82°
With the nearest neighbours (Å) after each atom.
Fractional coordinates of all 4 atoms:
Ni (0.5000, 0.0000, 0.5000)  4 Ni 2.61-2.69, 4 Ir 2.64, 4 Mo 2.64
Ni (0.0000, 0.0000, 0.0000)  4 Ni 2.61-2.69, 4 Mo 2.64, 4 Ir 2.64
Mo (0.5000, 0.5000, 0.0000)  2 Ir 2.61, 8 Ni 2.64, 2 Mo 2.69
Ir (0.0000, 0.5000, 0.5000)  2 Mo 2.61, 8 Ni 2.64, 2 Ir 2.69

Space-group type: C2/m (12)
Energy of formation (eV/atom): 0.0070
Total energy (eV per cell): -31.2